(1)
An optimized crystal structure of KCaRu2, computed with PBE.

Cell lengths 2.848, 4.860, 7.244 Å; angles 90.00, 91.44, 90.00 degrees
Positions (direct):
K (0.000, 0.000, 0.000)
Ca (0.000, 0.000, 0.500)
Ru (0.489, 0.500, 0.340)
Ru (0.511, 0.500, 0.660)

Properties
The value obtained for the total DFT energy (no corrections) is -18.68 eV/f.u. As for the space group: P2/m. As for the total magnetic moment: 0.324 μB/atom.

(2)
An optimized crystal structure of KCa2Ru, computed with PBE.

Cell lengths 11.668, 11.668, 11.668 Å; angles 18.64, 18.64, 18.64 degrees
Positions (direct):
K (0.000, 0.000, 0.000)
Ca (0.219, 0.219, 0.219)
Ca (0.781, 0.781, 0.781)
Ru (0.500, 0.500, 0.500)

Properties
The value obtained for the total DFT energy (no corrections) is -12.89 eV/f.u. As for the space group: R-3m. As for the total magnetic moment: 0.000 μB/atom.

(3)
An optimized crystal structure of KCa2Ru, computed with PBE.

Cell lengths 3.558, 3.556, 10.638 Å; angles 90.00, 90.18, 90.00 degrees
Positions (direct):
K (0.000, 0.000, 0.000)
Ca (0.499, 0.500, 0.348)
Ca (0.501, 0.500, 0.652)
Ru (0.000, 0.000, 0.500)

Properties
The value obtained for the total DFT energy (no corrections) is -13.46 eV/f.u. As for the space group: P2/m. As for the total magnetic moment: 0.000 μB/atom.

(4)
An optimized crystal structure of KCa2Ru, computed with PBE.

Cell lengths 4.398, 4.398, 10.198 Å; angles 94.95, 94.95, 47.75 degrees
Positions (direct):
K (0.000, 0.000, 0.000)
Ca (0.220, 0.220, 0.648)
Ca (0.780, 0.780, 0.352)
Ru (0.500, 0.500, 0.500)

Properties
The value obtained for the total DFT energy (no corrections) is -12.88 eV/f.u. As for the space group: C2/m. As for the total magnetic moment: 0.072 μB/atom.

Polymorph energy (0 for the lowest one) list, top to bottom, in meV/atom: 369; 142; 0; 144
Energy relative to the elements list, top to bottom, in eV per atom: 0.74; 0.37; 0.23; 0.37